1.
Material: PaTlBiO4
Method: DFT, PBE
State: relaxed

Calculated values
**Density**: 8.18 g cm⁻³
**Volume**: 575 Å³ per cell
**Spin magnetization**: 0.0 Bohr magnetons per cell
**Raw formation energy**: -2096 meV/atom
**Final energy**: -7.178 eV/atom

```
data_PaTlBiO4
_chemical_formula_sum 'Pa4 Tl4 Bi4 O16'
_space_group_name_H-M_alt 'I m m a'
_space_group_IT_number 74
_space_group_name_Hall '-I 2b 2'
_cell_length_a 6.4103
_cell_length_b 7.0858
_cell_length_c 12.6638
_cell_angle_alpha 90.00
_cell_angle_beta 90.00
_cell_angle_gamma 90.00
loop_
_atom_site_label
_atom_site_fract_x
_atom_site_fract_y
_atom_site_fract_z
Pa1 0.0000 0.0000 0.0000
Tl1 0.0000 0.2500 0.3436
Bi1 0.2500 0.2500 0.7500
O1 0.0000 0.0348 0.8291
O2 0.2057 0.2500 0.0086
```

---

2.
Material: PaTlBi2O6
Method: DFT, PBE
State: relaxed

Calculated values
**Density**: 9.16 g cm⁻³
**Volume**: 688 Å³ per cell
**Spin magnetization**: 0.0 Bohr magnetons per cell
**Raw formation energy**: -1886 meV/atom
**Final energy**: -6.823 eV/atom

```
data_PaTlBi2O6
_chemical_formula_sum 'Pa4 Tl4 Bi8 O24'
_space_group_name_H-M_alt 'C 1 2/c 1'
_space_group_IT_number 15
_space_group_name_Hall '-C 2yc'
_cell_length_a 13.0872
_cell_length_b 7.5337
_cell_length_c 8.1354
_cell_angle_alpha 90.00
_cell_angle_beta 120.89
_cell_angle_gamma 90.00
loop_
_atom_site_label
_atom_site_fract_x
_atom_site_fract_y
_atom_site_fract_z
Pa1 0.0000 0.2202 0.2500
Tl1 0.0000 0.3021 0.7500
Bi1 0.2433 0.0308 0.2203
O1 0.1229 0.2921 0.1475
O2 0.1236 0.0289 0.8233
O3 0.1318 0.3060 0.5258
```

---

3.
Material: PaTlBiO
Method: DFT, PBE
State: relaxed

Calculated values
**Density**: 10.91 g cm⁻³
**Volume**: 201 Å³ per cell
**Spin magnetization**: 1.0 Bohr magnetons per cell
**Raw formation energy**: -1276 meV/atom
**Final energy**: -6.451 eV/atom

```
data_PaTlBiO
_chemical_formula_sum 'Pa2 Tl2 Bi2 O2'
_space_group_name_H-M_alt 'P 4/n m m'
_space_group_IT_number 129
_cell_length_a 4.1511
_cell_length_b 4.1511
_cell_length_c 11.6654
_cell_angle_alpha 90.00
_cell_angle_beta 90.00
_cell_angle_gamma 90.00
loop_
_space_group_symop_operation_xyz
'x,y,z'
'-x,-y,-z'
'-y+1/2,x,z'
'y+1/2,-x,-z'
'-x+1/2,-y+1/2,z'
'x+1/2,y+1/2,-z'
'y,-x+1/2,z'
'-y,x+1/2,-z'
'x+1/2,-y,-z'
'-x+1/2,y,z'
'-y,-x,-z'
'y,x,z'
'-x,y+1/2,-z'
'x,-y+1/2,z'
'y+1/2,x+1/2,-z'
'-y+1/2,-x+1/2,z'
loop_
_atom_site_label
_atom_site_fract_x
_atom_site_fract_y
_atom_site_fract_z
Pa1 0.2500 0.2500 0.0990
Tl1 0.2500 0.7500 0.5000
Bi1 0.2500 0.2500 0.7553
O1 0.2500 0.7500 0.0000
```

---

Please write out number 2 again, unchanged.
Material: PaTlBi2O6
Method: DFT, PBE
State: relaxed

Calculated values
**Density**: 9.16 g cm⁻³
**Volume**: 688 Å³ per cell
**Spin magnetization**: 0.0 Bohr magnetons per cell
**Raw formation energy**: -1886 meV/atom
**Final energy**: -6.823 eV/atom

```
data_PaTlBi2O6
_chemical_formula_sum 'Pa4 Tl4 Bi8 O24'
_space_group_name_H-M_alt 'C 1 2/c 1'
_space_group_IT_number 15
_space_group_name_Hall '-C 2yc'
_cell_length_a 13.0872
_cell_length_b 7.5337
_cell_length_c 8.1354
_cell_angle_alpha 90.00
_cell_angle_beta 120.89
_cell_angle_gamma 90.00
loop_
_atom_site_label
_atom_site_fract_x
_atom_site_fract_y
_atom_site_fract_z
Pa1 0.0000 0.2202 0.2500
Tl1 0.0000 0.3021 0.7500
Bi1 0.2433 0.0308 0.2203
O1 0.1229 0.2921 0.1475
O2 0.1236 0.0289 0.8233
O3 0.1318 0.3060 0.5258
```

---

Q: Which formula does entry 3 have?
A: PaTlBiO

---

Q: The highest raw formation energy belongs to which entry?
A: PaTlBiO

---

Q: Look up the raw formation energy of the first one.
A: -2096 meV/atom